FeTcAu2 | GGA-PBE | relaxed

Unit cell a=3.914 b=3.914 c=4.153 alpha=90.00 beta=90.00 gamma=90.00
Fractional coordinates of all 4 atoms:
Fe  0.000  0.000  0.000
Tc  0.500  0.500  0.000
Au  0.000  0.500  0.500
Au  0.500  0.000  0.500

Computed properties:
Its energy above the most stable polymorph in this dataset is 233 meV per atom.